# 1
KZn2CdBr: relaxed, PBE.

Unit cell a=5.108 b=6.607 c=5.108 alpha=90.00 beta=90.00 gamma=90.00
Fractional positions:
Zn: 0.000 0.000 0.500
Zn: 0.500 0.000 0.000
K: 0.500 0.500 0.500
Br: 0.000 0.500 0.000
Cd: 0.000 0.000 0.000

Results
calculated total energy = -7.4 eV for the cell shown
formation energy from raw total energies = -1.2 eV/f.u.
crystal system = tetragonal


# 2
PrSc2Cu2Si2: relaxed, PBE.

Unit cell a=4.208 b=4.208 c=9.037 alpha=76.54 beta=76.54 gamma=60.00
Fractional positions:
Pr: 0.000 0.000 0.000
Sc: 0.132 0.132 0.604
Sc: 0.868 0.868 0.396
Cu: 0.584 0.584 0.249
Cu: 0.416 0.416 0.751
Si: 0.748 0.748 0.755
Si: 0.252 0.252 0.245

Results
calculated total energy = -40.2 eV for the cell shown
formation energy from raw total energies = -3.7 eV/f.u.
crystal system = trigonal


# 3
CaMo2HRu: relaxed, PBE.

Unit cell a=4.702 b=4.607 c=4.702 alpha=90.00 beta=90.00 gamma=90.00
Fractional positions:
Ru: 0.000 0.500 0.000
Mo: 0.000 0.000 0.500
Mo: 0.500 0.000 0.000
Ca: 0.000 0.000 0.000
H: 0.500 0.500 0.500

Results
calculated total energy = -19.9 eV for the cell shown
crystal system = tetragonal


# 4
BaSb2Rh3: relaxed, PBE.

Unit cell a=4.281 b=8.597 c=8.386 alpha=112.90 beta=90.00 gamma=104.42
Fractional positions:
Ba: 0.849 0.698 0.937
Ba: 0.151 0.302 0.063
Sb: 0.473 0.946 0.793
Sb: 0.527 0.054 0.207
Sb: 0.814 0.628 0.336
Sb: 0.186 0.372 0.664
Rh: 0.314 0.628 0.551
Rh: 0.959 0.917 0.614
Rh: 0.584 0.168 0.648
Rh: 0.416 0.832 0.352
Rh: 0.041 0.083 0.386
Rh: 0.686 0.372 0.449

Results
calculated total energy = -71.0 eV for the cell shown
formation energy from raw total energies = -3.3 eV/f.u.
crystal system = monoclinic
energy above the most stable polymorph in this dataset = 15 meV per atom


# 5
PrZn3Au3: relaxed, PBE.

Unit cell a=6.995 b=6.995 c=6.995 alpha=90.00 beta=90.00 gamma=90.00
Fractional positions:
Pr: 0.500 0.500 0.500
Pr: 0.000 0.000 0.000
Zn: 0.000 0.250 0.500
Zn: 0.000 0.750 0.500
Zn: 0.500 0.000 0.750
Zn: 0.750 0.500 0.000
Zn: 0.500 0.000 0.250
Zn: 0.250 0.500 0.000
Au: 0.250 0.000 0.500
Au: 0.000 0.500 0.250
Au: 0.500 0.750 0.000
Au: 0.750 0.000 0.500
Au: 0.000 0.500 0.750
Au: 0.500 0.250 0.000

Results
calculated total energy = -37.6 eV for the cell shown
energy of formation from the pure elements = -0.347 eV/f.u.
crystal system = cubic
energy above the most stable polymorph in this dataset = 312 meV per atom


# 6
TbY2N: relaxed, PBE.

Unit cell a=3.500 b=3.500 c=9.223 alpha=79.06 beta=79.06 gamma=60.00
Fractional positions:
Y: 0.283 0.283 0.151
Y: 0.717 0.717 0.849
Tb: 0.500 0.500 0.500
N: 0.000 0.000 0.000

Results
calculated total energy = -29.0 eV for the cell shown
formation energy from raw total energies = -3.1 eV/f.u.
crystal system = trigonal
energy above the most stable polymorph in this dataset = 0 meV per atom